# 1
{"formula": "AuIBrO2", "functional": "SCAN", "state": "single point on PBEsol structure", "energy_ev_per_atom": -27.0656, "spacegroup": "P4/mmm", "e_form_raw_ev_per_atom": 0.4984, "lattice": [[3.9972, 0.0000, 0.0000], [0.0000, 3.9972, 0.0000], [0.0000, 0.0000, 7.0584]], "species": ["Au", "I", "Br", "O", "O"], "frac_coords": [[0.0000, 0.0000, 0.0000], [0.0000, 0.0000, 0.5000], [0.5000, 0.5000, 0.5000], [0.0000, 0.5000, 0.0000], [0.5000, 0.0000, 0.0000]]}



# 2
{"formula": "Y2AuIBr", "functional": "SCAN", "state": "single point on PBEsol structure", "energy_ev_per_atom": -36.1411, "spacegroup": "P4/mmm", "e_form_raw_ev_per_atom": 0.0677, "lattice": [[5.2386, 0.0000, 0.0000], [0.0000, 5.2386, 0.0000], [0.0000, 0.0000, 6.0298]], "species": ["Y", "Y", "Au", "I", "Br"], "frac_coords": [[0.0000, 0.5000, 0.0000], [0.5000, 0.0000, 0.0000], [0.0000, 0.0000, 0.5000], [0.5000, 0.5000, 0.5000], [0.5000, 0.5000, 0.0000]]}



# 3
{"formula": "InAuBr3", "functional": "SCAN", "state": "single point on PBEsol structure", "energy_ev_per_atom": -32.2002, "spacegroup": "Pm-3m", "e_form_raw_ev_per_atom": -0.0158, "lattice": [[5.3149, 0.0000, 0.0000], [0.0000, 5.3149, 0.0000], [0.0000, 0.0000, 5.3149]], "species": ["In", "Au", "Br", "Br", "Br"], "frac_coords": [[0.0000, 0.0000, 0.0000], [0.5000, 0.5000, 0.5000], [0.0000, 0.0000, 0.5000], [0.0000, 0.5000, 0.0000], [0.5000, 0.0000, 0.0000]]}



# 4
{"formula": "InAu2Br", "functional": "SCAN", "state": "single point on PBEsol structure", "energy_ev_per_atom": -47.6499, "spacegroup": "Cmmm", "e_form_raw_ev_per_atom": 0.1401, "lattice": [[2.7870, -4.1723, 0.0000], [2.7870, 4.1723, 0.0000], [0.0000, 0.0000, 3.5477]], "species": ["In", "Au", "Au", "Br"], "frac_coords": [[0.0000, 0.0000, 0.0000], [0.0000, 0.5000, 0.5000], [0.5000, 0.0000, 0.5000], [0.5000, 0.5000, 0.0000]]}



# 5
{"formula": "In3AuBr", "functional": "SCAN", "state": "single point on PBEsol structure", "energy_ev_per_atom": -38.0753, "spacegroup": "Pm-3m", "e_form_raw_ev_per_atom": -0.3202, "lattice": [[5.3059, 0.0000, 0.0000], [0.0000, 5.3059, 0.0000], [0.0000, 0.0000, 5.3059]], "species": ["In", "In", "In", "Au", "Br"], "frac_coords": [[0.0000, 0.0000, 0.5000], [0.0000, 0.5000, 0.0000], [0.5000, 0.0000, 0.0000], [0.0000, 0.0000, 0.0000], [0.5000, 0.5000, 0.5000]]}



# 6
{"formula": "IrAu2Br", "functional": "SCAN", "state": "single point on PBEsol structure", "energy_ev_per_atom": -56.5762, "spacegroup": "Immm", "polymorph_energy_mev_per_atom": 71, "e_form_raw_ev_per_atom": 0.6420, "lattice": [[-1.4154, 2.2064, 5.9276], [1.4154, -2.2064, 5.9276], [1.4154, 2.2064, -5.9276]], "species": ["Ir", "Au", "Au", "Br"], "frac_coords": [[0.0000, 0.0000, 0.0000], [0.2026, 0.7026, 0.5000], [0.7974, 0.2974, 0.5000], [0.5000, 0.5000, 0.0000]]}



# 7
{"formula": "IrAu2Br", "functional": "SCAN", "state": "single point on PBEsol structure", "energy_ev_per_atom": -56.5863, "spacegroup": "P4/mmm", "polymorph_energy_mev_per_atom": 60, "e_form_raw_ev_per_atom": 0.6318, "lattice": [[2.7360, 0.0000, 0.0000], [0.0000, 2.7360, 0.0000], [0.0000, 0.0000, 10.5407]], "species": ["Ir", "Au", "Au", "Br"], "frac_coords": [[0.0000, 0.0000, 0.0000], [0.5000, 0.5000, 0.1946], [0.5000, 0.5000, 0.8054], [0.0000, 0.0000, 0.5000]]}



# 8
{"formula": "IrAu2Br", "functional": "SCAN", "state": "single point on PBEsol structure", "energy_ev_per_atom": -56.6468, "spacegroup": "Cmmm", "polymorph_energy_mev_per_atom": 0, "e_form_raw_ev_per_atom": 0.5714, "lattice": [[2.6163, -4.2450, 0.0000], [2.6163, 4.2450, 0.0000], [0.0000, 0.0000, 3.4011]], "species": ["Ir", "Au", "Au", "Br"], "frac_coords": [[0.0000, 0.0000, 0.0000], [0.2355, 0.7645, 0.5000], [0.7645, 0.2355, 0.5000], [0.5000, 0.5000, 0.0000]]}